# 1
Compound: Cs2PtIF
Source: Alexandria
Functional: GGA-PBEsol
Structure: optimized geometry

## Properties
Energy   -3.254 eV/atom
Fermi-level density of states   12.21 states/eV/f.u.
Space-group type   P4/mmm
Crystal system   tetragonal

Cell and atoms, written as POSCAR:
```
Cs2PtIF
1.0
7.074 0.000 0.000
0.000 7.074 0.000
0.000 0.000 4.914
Cs Pt I F
2 1 1 1
Direct
0.000 0.500 0.000
0.500 0.000 0.000
0.000 0.000 0.500
0.000 0.000 0.000
0.500 0.500 0.500
```


# 2
Compound: CsSb2IF
Source: Alexandria
Functional: GGA-PBEsol
Structure: optimized geometry

## Properties
Energy   -1.904 eV/atom
Fermi-level density of states   20.50 states/eV/f.u.
Space-group type   P4/mmm
Crystal system   tetragonal

Cell and atoms, written as POSCAR:
```
CsSb2IF
1.0
7.948 0.000 0.000
0.000 7.948 0.000
0.000 0.000 6.931
Cs Sb I F
1 2 1 1
Direct
0.000 0.000 0.000
0.000 0.500 0.000
0.500 0.000 0.000
0.000 0.000 0.500
0.500 0.500 0.500
```


# 3
Compound: CsInF3
Source: Alexandria
Functional: GGA-PBEsol
Structure: optimized geometry

## Properties
Energy   -4.446 eV/atom
Fermi-level density of states   0.00 states/eV/f.u.
Space-group type   Cmce
Crystal system   orthorhombic

Cell and atoms, written as POSCAR:
```
CsInF3
1.0
4.349 -7.728 0.000
4.349 7.728 0.000
0.000 0.000 5.746
Cs In F
4 4 12
Direct
0.074 0.426 0.250
0.426 0.074 0.750
0.574 0.926 0.250
0.926 0.574 0.750
0.047 0.953 0.295
0.453 0.547 0.795
0.547 0.453 0.205
0.953 0.047 0.705
0.079 0.921 0.934
0.181 0.819 0.373
0.186 0.314 0.750
0.314 0.186 0.250
0.319 0.681 0.873
0.421 0.579 0.434
0.579 0.421 0.566
0.681 0.319 0.127
0.686 0.814 0.750
0.814 0.686 0.250
0.819 0.181 0.627
0.921 0.079 0.066
```


# 4
Compound: CsRb2InF6
Source: Alexandria
Functional: GGA-PBEsol
Structure: optimized geometry

## Properties
Energy   -4.420 eV/atom
Fermi-level density of states   0.00 states/eV/f.u.
Space-group type   Fm-3m
Crystal system   cubic

Cell and atoms, written as POSCAR:
```
CsRb2InF6
1.0
0.000 4.805 4.805
4.805 0.000 4.805
4.805 4.805 0.000
Cs Rb In F
1 2 1 6
Direct
0.000 0.000 0.000
0.250 0.250 0.250
0.750 0.750 0.750
0.500 0.500 0.500
0.284 0.284 0.716
0.284 0.716 0.284
0.284 0.716 0.716
0.716 0.284 0.284
0.716 0.284 0.716
0.716 0.716 0.284
```


# 5
Compound: Cs2InSbF6
Source: Alexandria
Functional: GGA-PBEsol
Structure: optimized geometry

## Properties
Energy   -4.487 eV/atom
Fermi-level density of states   0.00 states/eV/f.u.
Space-group type   Fm-3m
Crystal system   cubic

Cell and atoms, written as POSCAR:
```
Cs2InSbF6
1.0
0.000 4.759 4.759
4.759 0.000 4.759
4.759 4.759 0.000
Cs In Sb F
2 1 1 6
Direct
0.250 0.250 0.250
0.750 0.750 0.750
0.000 0.000 0.000
0.500 0.500 0.500
0.270 0.270 0.730
0.270 0.730 0.270
0.270 0.730 0.730
0.730 0.270 0.270
0.730 0.270 0.730
0.730 0.730 0.270
```


# 6
Compound: Cs2ScInF6
Source: Alexandria
Functional: GGA-PBEsol
Structure: optimized geometry

## Properties
Energy   -5.372 eV/atom
Fermi-level density of states   0.00 states/eV/f.u.
Space-group type   Fm-3m
Crystal system   cubic

Cell and atoms, written as POSCAR:
```
Cs2ScInF6
1.0
0.000 4.624 4.624
4.624 0.000 4.624
4.624 4.624 0.000
Cs Sc In F
2 1 1 6
Direct
0.250 0.250 0.250
0.750 0.750 0.750
0.000 0.000 0.000
0.500 0.500 0.500
0.218 0.218 0.782
0.218 0.782 0.218
0.218 0.782 0.782
0.782 0.218 0.218
0.782 0.218 0.782
0.782 0.782 0.218
```


# 7
Compound: Cs2TlInF6
Source: Alexandria
Functional: GGA-PBEsol
Structure: optimized geometry

## Properties
Energy   -4.439 eV/atom
Fermi-level density of states   0.00 states/eV/f.u.
Space-group type   Fm-3m
Crystal system   cubic

Cell and atoms, written as POSCAR:
```
Cs2TlInF6
1.0
0.000 4.702 4.702
4.702 0.000 4.702
4.702 4.702 0.000
Cs Tl In F
2 1 1 6
Direct
0.250 0.250 0.250
0.750 0.750 0.750
0.000 0.000 0.000
0.500 0.500 0.500
0.278 0.278 0.722
0.278 0.722 0.278
0.278 0.722 0.722
0.722 0.278 0.278
0.722 0.278 0.722
0.722 0.722 0.278
```


# 8
Compound: Cs2YInF6
Source: Alexandria
Functional: GGA-PBEsol
Structure: optimized geometry

## Properties
Energy   -5.408 eV/atom
Fermi-level density of states   0.00 states/eV/f.u.
Space-group type   Fm-3m
Crystal system   cubic

Cell and atoms, written as POSCAR:
```
Cs2YInF6
1.0
0.000 4.752 4.752
4.752 0.000 4.752
4.752 4.752 0.000
Cs Y In F
2 1 1 6
Direct
0.250 0.250 0.250
0.750 0.750 0.750
0.000 0.000 0.000
0.500 0.500 0.500
0.227 0.227 0.773
0.227 0.773 0.227
0.227 0.773 0.773
0.773 0.227 0.227
0.773 0.227 0.773
0.773 0.773 0.227
```


# 9
Compound: CsIrNF2
Source: Alexandria
Functional: GGA-PBEsol
Structure: optimized geometry

## Properties
Energy   -5.601 eV/atom
Fermi-level density of states   1.40 states/eV/f.u.
Space-group type   P4/mmm
Crystal system   tetragonal

Cell and atoms, written as POSCAR:
```
CsIrNF2
1.0
4.635 0.000 0.000
0.000 4.635 0.000
0.000 0.000 3.690
Cs Ir N F
1 1 1 2
Direct
0.000 0.000 0.000
0.500 0.500 0.500
0.500 0.500 0.000
0.000 0.500 0.500
0.500 0.000 0.500
```


# 10
Compound: CsIrO2F
Source: Alexandria
Functional: GGA-PBEsol
Structure: optimized geometry

## Properties
Energy   -3.271 eV/atom
Fermi-level density of states   7.54 states/eV/f.u.
Space-group type   P4/mmm
Crystal system   tetragonal

Cell and atoms, written as POSCAR:
```
CsIrO2F
1.0
4.316 0.000 0.000
0.000 4.316 0.000
0.000 0.000 5.118
Cs Ir O F
1 1 2 1
Direct
0.000 0.000 0.000
0.500 0.500 0.500
0.000 0.500 0.000
0.500 0.000 0.000
0.000 0.000 0.500
```


# 11
Compound: Cs2RbIrF6
Source: Alexandria
Functional: GGA-PBEsol
Structure: optimized geometry

## Properties
Energy   -4.705 eV/atom
Fermi-level density of states   0.00 states/eV/f.u.
Space-group type   Fm-3m
Crystal system   cubic

Cell and atoms, written as POSCAR:
```
Cs2RbIrF6
1.0
0.000 4.615 4.615
4.615 0.000 4.615
4.615 4.615 0.000
Cs Rb Ir F
2 1 1 6
Direct
0.250 0.250 0.250
0.750 0.750 0.750
0.000 0.000 0.000
0.500 0.500 0.500
0.282 0.282 0.718
0.282 0.718 0.282
0.282 0.718 0.718
0.718 0.282 0.282
0.718 0.282 0.718
0.718 0.718 0.282
```


# 12
Compound: CsRb2IrF6
Source: Alexandria
Functional: GGA-PBEsol
Structure: optimized geometry

## Properties
Energy   -4.632 eV/atom
Fermi-level density of states   0.00 states/eV/f.u.
Space-group type   Fm-3m
Crystal system   cubic

Cell and atoms, written as POSCAR:
```
CsRb2IrF6
1.0
0.000 4.701 4.701
4.701 0.000 4.701
4.701 4.701 0.000
Cs Rb Ir F
1 2 1 6
Direct
0.000 0.000 0.000
0.250 0.250 0.250
0.750 0.750 0.750
0.500 0.500 0.500
0.286 0.286 0.714
0.286 0.714 0.286
0.286 0.714 0.714
0.714 0.286 0.286
0.714 0.286 0.714
0.714 0.714 0.286
```